DFT (PBE-GGA) results for an optimized crystal structure of AcPuAg.

As for the energy above the most stable polymorph in this dataset: 0 meV/atom. The final energy is -7.00 eV/atom. For the volume, the calculation gives 93.1 Å³/f.u. The crystal system is tetragonal. Its calculated formation energy is 0.097 eV per atom.

Geometry as CIF:
```
data_AcPuAg
_chemical_formula_sum 'Ac2 Pu2 Ag2'
_space_group_name_H-M_alt 'I 4 m m'
_space_group_IT_number 107
_space_group_name_Hall 'I 4 -2'
_cell_length_a 3.824
_cell_length_b 3.824
_cell_length_c 12.736
_cell_angle_alpha 90.00
_cell_angle_beta 90.00
_cell_angle_gamma 90.00
loop_
_atom_site_label
_atom_site_type_symbol
_atom_site_fract_x
_atom_site_fract_y
_atom_site_fract_z
Ac1 Ac 0.000 0.000 0.000
Pu1 Pu 0.000 0.000 0.294
Ag1 Ag 0.000 0.000 0.661
```

---

DFT (PBE-GGA) results for an optimized crystal structure of CaDy2GeN4.

The final energy is -7.20 eV/atom. For the volume, the calculation gives 117.1 Å³/f.u. The crystal system is orthorhombic. The uncorrected formation energy comes out at -1.0566 eV per atom.

Geometry as CIF:
```
data_CaDy2GeN4
_chemical_formula_sum 'Ca4 Dy8 Ge4 N16'
_space_group_name_H-M_alt 'C m c m'
_space_group_IT_number 63
_space_group_name_Hall '-C 2c 2'
_cell_length_a 3.381
_cell_length_b 11.747
_cell_length_c 11.790
_cell_angle_alpha 90.00
_cell_angle_beta 90.00
_cell_angle_gamma 90.00
loop_
_atom_site_label
_atom_site_type_symbol
_atom_site_fract_x
_atom_site_fract_y
_atom_site_fract_z
Ca1 Ca 0.000 0.100 0.250
Dy1 Dy 0.000 0.370 0.038
Ge1 Ge 0.000 0.172 0.750
N1 N 0.000 0.000 0.000
N2 N 0.000 0.263 0.623
N3 N 0.000 0.424 0.250
```

---

DFT (PBE-GGA) results for an optimized crystal structure of Sm4YEr3Te8.

The final energy is -5.32 eV/atom. For the volume, the calculation gives 478.2 Å³/f.u. The crystal system is trigonal. The uncorrected formation energy comes out at -1.3096 eV per atom.

Geometry as CIF:
```
data_Sm4YEr3Te8
_chemical_formula_sum 'Sm12 Y3 Er9 Te24'
_space_group_name_H-M_alt 'R -3 m'
_space_group_IT_number 166
_space_group_name_Hall '-R 3 2"'
_cell_length_a 8.6955
_cell_length_b 8.6955
_cell_length_c 21.9082
_cell_angle_alpha 90.00
_cell_angle_beta 90.00
_cell_angle_gamma 120.00
loop_
_atom_site_label
_atom_site_type_symbol
_atom_site_fract_x
_atom_site_fract_y
_atom_site_fract_z
Sm1 Sm 0.0000 0.0000 0.0000
Sm2 Sm 0.0000 0.5000 0.0000
Y1 Y 0.0000 0.0000 0.5000
Er1 Er 0.0000 0.5000 0.5000
Te1 Te 0.0000 0.0000 0.2462
Te2 Te 0.0020 0.5010 0.7533
```